[1]
PBEsol SbAs2P, optimized geometry; crystal system = trigonal; E_tot = -20.38 eV per cell
1.0
3.8581 0.0000 0.0000
1.9291 3.3412 0.0000
1.9291 1.1137 6.7264
Sb As P
1 2 1
Direct
0.7622 0.7622 0.7133
0.9851 0.9851 0.0446
0.2558 0.2558 0.2327
0.4969 0.4969 0.5094



[2]
PBEsol SbAsP, optimized geometry; crystal system = cubic; E_tot = -13.76 eV per cell
1.0
-3.3406 -2.4602 1.9641
0.7386 -2.0665 4.0316
-2.0709 1.5554 3.7897
Sb As P
1 1 1
Direct
0.5000 0.5000 0.5000
0.7500 0.7500 0.7500
0.0000 0.0000 0.0000



| no. | uncorrected formation energy (eV per atom) | DOS(E_F) (states/eV/f.u.) |
| --- | --- | --- |
| 1 | 0.05 | 0.28 |
| 2 | 0.56 | 1.50 |